# 1
This record from the Open Quantum Materials Database describes crystalline BeAlPd at its relaxed geometry. The functional is GGA-PBE.

Results
- Mass density: 5.226 g/cm3
- E above lowest polymorph: 0.240 eV per atom

Structure (CIF):
```
data_BeAlPd
_cell_length_a 5.657
_cell_length_b 5.657
_cell_length_c 5.657
_cell_angle_alpha 90.00
_cell_angle_beta 90.00
_cell_angle_gamma 90.00
_space_group_name_H-M_alt 'F -4 3 m'
_space_group_IT_number 216
_space_group_name_Hall 'F -4 2 3'
loop_
_atom_site_label
_atom_site_type_symbol
_atom_site_fract_x
_atom_site_fract_y
_atom_site_fract_z
_atom_site_occupancy
Be1 Be 0.000 0.000 0.000 1
Al1 Al 0.250 0.250 0.250 1
Pd1 Pd 0.000 0.000 0.500 1
```

# 2
This record from the Open Quantum Materials Database describes crystalline Lu4NiB13 at its relaxed geometry. The functional is GGA-PBE.

Results
- Total DFT energy (no corrections): -6.661 eV/atom
- Mass density: 8.511 g/cm3
- Spin magnetization: 0.0 μB per formula unit

Structure (CIF):
```
data_Lu4NiB13
_cell_length_a 7.215
_cell_length_b 7.215
_cell_length_c 6.740
_cell_angle_alpha 90.00
_cell_angle_beta 90.00
_cell_angle_gamma 90.00
_space_group_name_H-M_alt 'P 4/m n c'
_space_group_IT_number 128
_space_group_name_Hall '-P 4 2n'
loop_
_atom_site_label
_atom_site_type_symbol
_atom_site_fract_x
_atom_site_fract_y
_atom_site_fract_z
_atom_site_occupancy
Lu1 Lu 0.180 0.315 0.000 1
Ni1 Ni 0.000 0.000 0.500 1
B1 B 0.000 0.000 0.000 1
B2 B 0.040 0.829 0.243 1
B3 B 0.091 0.591 0.250 1
```

# 3
This record from the Open Quantum Materials Database describes crystalline Nd2Ho2CBr2Cl3 at its relaxed geometry. The functional is GGA-PBE.

Results
- Mass density: 5.475 g/cm3
- E above lowest polymorph: 0.000 eV per atom
- Spin magnetization: 0.0 μB per formula unit

Structure (CIF):
```
data_Nd2Ho2CBr2Cl3
_cell_length_a 17.840
_cell_length_b 3.844
_cell_length_c 8.148
_cell_angle_alpha 90.00
_cell_angle_beta 103.26
_cell_angle_gamma 90.00
_space_group_name_H-M_alt 'C 1 2/m 1'
_space_group_IT_number 12
_space_group_name_Hall '-C 2y'
loop_
_atom_site_label
_atom_site_type_symbol
_atom_site_fract_x
_atom_site_fract_y
_atom_site_fract_z
_atom_site_occupancy
Nd1 Nd 0.000 0.000 0.214 1
Ho1 Ho 0.138 0.500 0.075 1
C1 C 0.000 0.500 0.000 1
Br1 Br 0.175 0.000 0.840 1
Cl1 Cl 0.000 0.500 0.500 1
Cl2 Cl 0.165 0.000 0.315 1
```

# 4
This record from the Open Quantum Materials Database describes crystalline Re2C3I4O3 at its relaxed geometry. The functional is GGA-PBE.

Results
- Total DFT energy (no corrections): -6.546 eV/atom
- Mass density: 5.159 g/cm3
- Spin magnetization: 1.0 μB per formula unit

Structure (CIF):
```
data_Re2C3I4O3
_cell_length_a 22.472
_cell_length_b 8.728
_cell_length_c 12.727
_cell_angle_alpha 90.00
_cell_angle_beta 96.07
_cell_angle_gamma 90.00
_space_group_name_H-M_alt 'C 1 2/c 1'
_space_group_IT_number 15
_space_group_name_Hall '-C 2yc'
loop_
_atom_site_label
_atom_site_type_symbol
_atom_site_fract_x
_atom_site_fract_y
_atom_site_fract_z
_atom_site_occupancy
Re1 Re 0.008 0.137 0.165 1
Re2 Re 0.161 0.342 0.255 1
C1 C 0.171 0.454 0.807 1
C2 C 0.205 0.387 0.138 1
C3 C 0.233 0.280 0.337 1
I1 I 0.025 0.146 0.896 1
I2 I 0.052 0.424 0.137 1
I3 I 0.098 0.256 0.426 1
I4 I 0.125 0.049 0.173 1
O1 O 0.177 0.328 0.838 1
O2 O 0.222 0.253 0.614 1
O3 O 0.233 0.414 0.067 1
```

# 5
This record from the Open Quantum Materials Database describes crystalline LaNd3P2I2 at its relaxed geometry. The functional is GGA-PBE.

Results
- Total DFT energy (no corrections): -5.561 eV/atom
- Mass density: 6.182 g/cm3
- Spin magnetization: 0.0 μB per formula unit

Structure (CIF):
```
data_LaNd3P2I2
_cell_length_a 4.2206
_cell_length_b 4.2206
_cell_length_c 15.4501
_cell_angle_alpha 90.00
_cell_angle_beta 90.00
_cell_angle_gamma 120.00
_space_group_name_H-M_alt 'P 3 m 1'
_space_group_IT_number 156
_space_group_name_Hall 'P 3 -2"'
loop_
_atom_site_label
_atom_site_type_symbol
_atom_site_fract_x
_atom_site_fract_y
_atom_site_fract_z
_atom_site_occupancy
La1 La 0.0000 0.0000 0.0000 1
Nd1 Nd 0.0000 0.0000 0.3091 1
Nd2 Nd 0.3333 0.6667 0.4993 1
Nd3 Nd 0.3333 0.6667 0.8038 1
P1 P 0.6667 0.3333 0.4043 1
P2 P 0.6667 0.3333 0.8992 1
I1 I 0.0000 0.0000 0.6517 1
I2 I 0.3333 0.6667 0.1579 1
```

# 6
This record from the Open Quantum Materials Database describes crystalline TmIrPd at its relaxed geometry. The functional is GGA-PBE.

Results
- Mass density: 12.368 g/cm3
- E above lowest polymorph: 0.177 eV per atom
- Formation energy from the elements: -0.08 eV per atom
- Spin magnetization: 0.0 μB per formula unit

Structure (CIF):
```
data_TmIrPd
_cell_length_a 6.309
_cell_length_b 6.309
_cell_length_c 6.309
_cell_angle_alpha 90.00
_cell_angle_beta 90.00
_cell_angle_gamma 90.00
_space_group_name_H-M_alt 'F -4 3 m'
_space_group_IT_number 216
_space_group_name_Hall 'F -4 2 3'
loop_
_atom_site_label
_atom_site_type_symbol
_atom_site_fract_x
_atom_site_fract_y
_atom_site_fract_z
_atom_site_occupancy
Tm1 Tm 0.000 0.000 0.000 1
Ir1 Ir 0.250 0.250 0.750 1
Pd1 Pd 0.250 0.250 0.250 1
```